No. 1
Computed, not measured: a relaxed structure of ZrTiRh2 at the PBE level of DFT.

abc: 3.026 3.026 7.152
angles: 90.00 90.00 90.00
Positions (direct):
Rh 0.000 0.000 0.784
Zr 0.500 0.500 0.500
Rh 0.000 0.000 0.216
Ti 0.500 0.500 0.000

## Properties
* polymorph energy (0 for the lowest one): 0.000 eV/atom
* magnetic moment: 0.000 μB/atom
* space-group type: No. 123
* energy of formation from the pure elements: -765 meV per atom

No. 2
Computed, not measured: a relaxed structure of ZrTiRh2 at the PBE level of DFT.

abc: 4.542 4.542 4.542
angles: 60.00 60.00 60.00
Positions (direct):
Rh 0.250 0.250 0.250
Rh 0.750 0.750 0.750
Zr 0.500 0.500 0.500
Ti 0.000 0.000 0.000

## Properties
* polymorph energy (0 for the lowest one): 0.058 eV/atom
* magnetic moment: 0.000 μB/atom
* space-group type: No. 225
* energy of formation from the pure elements: -706 meV per atom

No. 3
Computed, not measured: a relaxed structure of Zr3TiRh4 at the PBE level of DFT.

abc: 3.242 3.242 13.120
angles: 90.00 90.00 90.00
Positions (direct):
Rh 0.000 0.000 0.629
Rh 0.000 0.000 0.889
Rh 0.000 0.000 0.371
Rh 0.000 0.000 0.111
Ti 0.500 0.500 0.000
Zr 0.500 0.500 0.757
Zr 0.500 0.500 0.500
Zr 0.500 0.500 0.243

## Properties
* magnetic moment: 0.000 μB/atom
* space-group type: No. 123
* energy of formation from the pure elements: -742 meV per atom

No. 4
Computed, not measured: a relaxed structure of ZrTi2Rh2 at the PBE level of DFT.

abc: 2.988 3.033 9.587
angles: 80.90 90.00 90.00
Positions (direct):
Rh 0.500 0.607 0.787
Rh 0.500 0.393 0.213
Ti 0.000 0.813 0.374
Ti 0.000 0.187 0.626
Zr 0.000 0.000 0.000

## Properties
* polymorph energy (0 for the lowest one): 0.139 eV/atom
* magnetic moment: 0.270 μB/atom
* space-group type: No. 65
* energy of formation from the pure elements: -421 meV per atom

No. 5
Computed, not measured: a relaxed structure of Zr3TiRh6 at the PBE level of DFT.

abc: 4.580 7.825 9.959
angles: 111.47 90.00 90.00
Positions (direct):
Rh 0.750 0.753 0.496
Zr 0.750 0.199 0.017
Rh 0.750 0.316 0.333
Rh 0.750 0.142 0.695
Zr 0.250 0.514 0.375
Rh 0.250 0.247 0.504
Ti 0.250 0.948 0.583
Rh 0.750 0.849 0.820
Rh 0.250 0.065 0.856
Zr 0.250 0.801 0.983
Rh 0.750 0.545 0.912
Ti 0.750 0.052 0.417
Zr 0.250 0.362 0.801
Rh 0.250 0.455 0.088
Rh 0.250 0.684 0.667
Rh 0.750 0.935 0.144
Rh 0.250 0.858 0.305
Rh 0.250 0.151 0.180
Zr 0.750 0.638 0.199
Zr 0.750 0.486 0.625

## Properties
* magnetic moment: 0.000 μB/atom
* space-group type: No. 11
* energy of formation from the pure elements: -749 meV per atom

No. 6
Computed, not measured: a relaxed structure of ZrTi2Rh2 at the PBE level of DFT.

abc: 7.605 7.605 2.867
angles: 90.00 90.00 90.00
Positions (direct):
Rh 0.651 0.849 0.500
Rh 0.849 0.349 0.500
Zr 0.500 0.500 0.000
Ti 0.145 0.355 0.000
Ti 0.645 0.145 0.000
Rh 0.151 0.651 0.500
Zr 0.000 0.000 0.000
Rh 0.349 0.151 0.500
Ti 0.855 0.645 0.000
Ti 0.355 0.855 0.000

## Properties
* polymorph energy (0 for the lowest one): 0.000 eV/atom
* magnetic moment: 0.000 μB/atom
* space-group type: No. 127
* energy of formation from the pure elements: -560 meV per atom